First-principles (PBE) data for crystalline Nd3TmCo at its relaxed geometry, as listed in the Alexandria database.

Calculated values
The calculation puts the total energy at -5.0580 eV per atom. The formation enthalpy at 0 K is 0.1182 eV per atom. Its density of states at the Fermi level is 10.1 states/eV/f.u.

Cell: 5.418 5.418 5.418 Å, 90.00 90.00 90.00°
Space group Pm-3m (No. 221)
Asymmetric unit:
Nd 0.000 0.000 0.500 x3
Tm 0.500 0.500 0.500 x1
Co 0.000 0.000 0.000 x1